Entry 1:
Computed, not measured: an optimized crystal structure of Rb2ScRh at the PBE-GGA level of DFT.

Output
- Distance to the lowest polymorph of the same formula: 0.0000 eV per atom
- Size of the total moment: 0.00 Bohr magnetons per cell
- Crystal system: tetragonal
- SG: No. 122

a b c (Å): 13.2638 13.2638 9.6742
angles (deg): 46.72 46.72 90.00
Fractional positions:
Sc1 0.2500 0.7500 0.5000
Sc2 0.5000 0.5000 0.0000
Rh1 0.7500 0.2500 0.5000
Rh2 0.0000 0.0000 0.0000
Rb1 0.3750 0.2102 0.7500
Rb2 0.8750 0.0398 0.7500
Rb3 0.7898 0.1250 0.2500
Rb4 0.9602 0.6250 0.2500

=====

Entry 2:
Computed, not measured: an optimized crystal structure of RbSc3Rh at the PBE-GGA level of DFT.

Output
- Distance to the lowest polymorph of the same formula: 1.5804 eV per atom
- Size of the total moment: 0.00 Bohr magnetons per cell
- Crystal system: cubic
- SG: No. 221

a b c (Å): 4.8603 4.8603 4.8603
angles (deg): 90.00 90.00 90.00
Fractional positions:
Sc1 0.0000 0.5000 0.0000
Sc2 0.0000 0.0000 0.5000
Sc3 0.5000 0.0000 0.0000
Rb1 0.0000 0.0000 0.0000
Rh1 0.5000 0.5000 0.5000

=====

Entry 3:
Computed, not measured: an optimized crystal structure of Rb2ScRh at the PBE-GGA level of DFT.

Output
- Distance to the lowest polymorph of the same formula: 0.7905 eV per atom
- Size of the total moment: 0.00 Bohr magnetons per cell
- Crystal system: cubic
- SG: No. 225

a b c (Å): 5.6721 5.6721 5.6721
angles (deg): 60.00 60.00 60.00
Fractional positions:
Rb1 0.7500 0.7500 0.7500
Rb2 0.2500 0.2500 0.2500
Sc1 0.0000 0.0000 0.0000
Rh1 0.5000 0.5000 0.5000

=====

Entry 4:
Computed, not measured: an optimized crystal structure of RbSc3Rh at the PBE-GGA level of DFT.

Output
- Distance to the lowest polymorph of the same formula: 0.0000 eV per atom
- Size of the total moment: 0.00 Bohr magnetons per cell
- Crystal system: cubic
- SG: No. 221

a b c (Å): 5.2305 5.2305 5.2305
angles (deg): 90.00 90.00 90.00
Fractional positions:
Rb1 0.5000 0.5000 0.5000
Sc1 0.0000 0.0000 0.5000
Sc2 0.5000 0.0000 0.0000
Sc3 0.0000 0.5000 0.0000
Rh1 0.0000 0.0000 0.0000

=====

Entry 5:
Computed, not measured: an optimized crystal structure of RbSc2Rh at the PBE-GGA level of DFT.

Output
- Distance to the lowest polymorph of the same formula: 0.0000 eV per atom
- Size of the total moment: 0.00 Bohr magnetons per cell
- Crystal system: trigonal
- SG: No. 166

a b c (Å): 10.4713 10.4713 10.4713
angles (deg): 21.61 21.61 21.61
Fractional positions:
Sc1 0.8749 0.8749 0.8749
Sc2 0.1251 0.1251 0.1251
Rh1 0.5000 0.5000 0.5000
Rb1 0.0000 0.0000 0.0000

=====

Entry 6:
Computed, not measured: an optimized crystal structure of RbSc2Rh at the PBE-GGA level of DFT.

Output
- Distance to the lowest polymorph of the same formula: 0.5123 eV per atom
- Size of the total moment: 0.00 Bohr magnetons per cell
- Crystal system: cubic
- SG: No. 225

a b c (Å): 5.0157 5.0157 5.0157
angles (deg): 60.00 60.00 60.00
Fractional positions:
Sc1 0.7500 0.7500 0.7500
Sc2 0.2500 0.2500 0.2500
Rh1 0.5000 0.5000 0.5000
Rb1 0.0000 0.0000 0.0000

=====

Entry 7:
Computed, not measured: an optimized crystal structure of Rb2YScRh at the PBE-GGA level of DFT.

Output
- Size of the total moment: 1.91 Bohr magnetons per cell
- Crystal system: tetragonal
- Final energy: -18.23 eV per cell
- SG: No. 123

a b c (Å): 6.4221 5.1650 6.4221
angles (deg): 90.00 90.00 90.00
Fractional positions:
Rb1 0.5000 0.0000 0.0000
Rb2 0.0000 0.0000 0.5000
Rh1 0.0000 0.0000 0.0000
Y1 0.0000 0.5000 0.0000
Sc1 0.5000 0.5000 0.5000

=====

Entry 8:
Computed, not measured: an optimized crystal structure of RbRh6Se8 at the PBE-GGA level of DFT.

Output
- Formation energy without anion corrections: -0.415 eV per atom
- Size of the total moment: 0.00 Bohr magnetons per cell
- Crystal system: trigonal
- SG: No. 148

a b c (Å): 6.8880 6.8880 6.8880
angles (deg): 88.94 88.94 88.94
Fractional positions:
Rb1 0.0000 0.0000 0.0000
Se1 0.6127 0.8562 0.2718
Se2 0.2553 0.2553 0.2553
Se3 0.7447 0.7447 0.7447
Se4 0.2718 0.6127 0.8562
Se5 0.8562 0.2718 0.6127
Se6 0.1438 0.7282 0.3873
Se7 0.3873 0.1438 0.7282
Se8 0.7282 0.3873 0.1438
Rh1 0.4059 0.5664 0.1884
Rh2 0.1884 0.4059 0.5664
Rh3 0.4336 0.8116 0.5941
Rh4 0.8116 0.5941 0.4336
Rh5 0.5941 0.4336 0.8116
Rh6 0.5664 0.1884 0.4059

=====

Entry 9:
Computed, not measured: an optimized crystal structure of Rb2RhSe2 at the PBE-GGA level of DFT.

Output
- Formation energy without anion corrections: -0.656 eV per atom
- Size of the total moment: 0.00 Bohr magnetons per cell
- Crystal system: orthorhombic
- SG: No. 72

a b c (Å): 6.5175 7.3210 8.4513
angles (deg): 115.67 112.68 90.00
Fractional positions:
Rb1 0.1440 0.3075 0.2879
Rb2 0.3560 0.0196 0.7121
Rb3 0.6440 0.9804 0.2879
Rb4 0.8560 0.6925 0.7121
Rh1 0.7500 0.5000 0.0000
Rh2 0.2500 0.5000 0.0000
Se1 0.8996 0.2262 0.7993
Se2 0.3996 0.5730 0.7993
Se3 0.1004 0.7738 0.2007
Se4 0.6004 0.4270 0.2007

=====

Entry 10:
Computed, not measured: an optimized crystal structure of Rb2RhSe2 at the PBE-GGA level of DFT.

Output
- Formation energy without anion corrections: -0.447 eV per atom
- Size of the total moment: 0.00 Bohr magnetons per cell
- Crystal system: tetragonal
- SG: No. 127

a b c (Å): 6.8956 6.8956 5.6022
angles (deg): 90.00 90.00 90.00
Fractional positions:
Rb1 0.8325 0.3325 0.5000
Rb2 0.6675 0.8325 0.5000
Rb3 0.1675 0.6675 0.5000
Rb4 0.3325 0.1675 0.5000
Se1 0.1594 0.3406 0.0000
Se2 0.8406 0.6594 0.0000
Se3 0.6594 0.1594 0.0000
Se4 0.3406 0.8406 0.0000
Rh1 0.0000 0.0000 0.0000
Rh2 0.5000 0.5000 0.0000

=====

Entry 11:
Computed, not measured: an optimized crystal structure of Rb3RhSe at the PBE-GGA level of DFT.

Output
- Formation energy without anion corrections: 0.194 eV per atom
- Distance to the lowest polymorph of the same formula: 0.0000 eV per atom
- Size of the total moment: 0.00 Bohr magnetons per cell
- Crystal system: cubic
- SG: No. 221

a b c (Å): 5.6878 5.6878 5.6878
angles (deg): 90.00 90.00 90.00
Fractional positions:
Rh1 0.0000 0.0000 0.0000
Rb1 0.5000 0.0000 0.0000
Rb2 0.0000 0.0000 0.5000
Rb3 0.0000 0.5000 0.0000
Se1 0.5000 0.5000 0.5000

=====

Entry 12:
Computed, not measured: an optimized crystal structure of Rb2RhSe2 at the PBE-GGA level of DFT.

Output
- Formation energy without anion corrections: -0.339 eV per atom
- Size of the total moment: 0.88 Bohr magnetons per cell
- Crystal system: tetragonal
- SG: No. 139

a b c (Å): 6.9238 6.9238 6.6810
angles (deg): 58.79 58.79 90.00
Fractional positions:
Rb1 0.2500 0.7500 0.5000
Rb2 0.7500 0.2500 0.5000
Rh1 0.0000 0.0000 0.0000
Se1 0.2514 0.2514 0.4973
Se2 0.7486 0.7486 0.5027

=====

Entry 13:
Computed, not measured: an optimized crystal structure of Rb4RhSe4 at the PBE-GGA level of DFT.

Output
- Formation energy without anion corrections: -0.679 eV per atom
- Size of the total moment: 0.97 Bohr magnetons per cell
- Crystal system: tetragonal
- SG: No. 121

a b c (Å): 7.7566 7.7566 9.0978
angles (deg): 115.23 115.23 90.00
Fractional positions:
Se1 0.0525 0.0525 0.7774
Se2 0.2751 0.9475 0.2226
Se3 0.9475 0.2751 0.2226
Se4 0.7249 0.7249 0.7774
Rb1 0.6985 0.6985 0.3971
Rb2 0.3015 0.3015 0.6029
Rb3 0.0000 0.5000 0.0000
Rb4 0.5000 0.0000 0.0000
Rh1 0.0000 0.0000 0.0000